Here is Rb2TbBiO4 after structural relaxation from Alexandria. Energies are from PBE.

Values from the calculation:
The total energy is -5.767 eV/atom. As for the space group: P2/m. As for the total moment: 0.000 μB per atom.

abc: 6.235 3.586 6.897
angles: 90.00 107.38 90.00
Sites, in units of the cell vectors:
Rb 0.000 0.000 0.000
Rb 0.500 0.500 0.000
Tb 0.000 0.500 0.500
Bi 0.500 0.000 0.500
O 0.216 0.000 0.680
O 0.258 0.500 0.313
O 0.742 0.500 0.687
O 0.784 0.000 0.320